Entry 1:
An optimized crystal structure of GeMo2AuBr, computed with PBE.

Computed properties:
Space group: P4/mmm, No. 123
Density of states at the Fermi level in states/eV per cell: 3.6
Uncorrected formation energy in eV/atom: 1.574

Unit cell a=5.444 b=4.690 c=5.444 alpha=90.00 beta=90.00 gamma=90.00
Last column: magnetic moment on the atom in μB.
Sites, in units of the cell vectors:
Mo 0.000 0.000 0.500  3.44
Mo 0.500 0.000 0.000  3.36
Au 0.000 0.000 0.000  0.15
Ge 0.000 0.500 0.000  -0.08
Br 0.500 0.500 0.500  0.02

Entry 2:
An optimized crystal structure of PdPtI4, computed with PBE.

Computed properties:
Space group: C2/m, No. 12
Polymorph energy (0 for the lowest one) in eV per atom: 0.0059
Uncorrected formation energy in eV/atom: -0.158

Unit cell a=3.883 b=9.589 c=15.356 alpha=117.70 beta=90.00 gamma=90.00
Sites, in units of the cell vectors:
Pd 0.000 0.000 0.500
Pd 0.500 0.500 0.000
Pt 0.500 0.500 0.500
Pt 0.000 0.000 0.000
I 0.500 0.933 0.371
I 0.000 0.567 0.129
I 0.500 0.067 0.629
I 0.000 0.433 0.871
I 0.000 0.442 0.373
I 0.500 0.058 0.127
I 0.000 0.558 0.627
I 0.500 0.942 0.873

Entry 3:
An optimized crystal structure of Fe3BIr2, computed with PBE.

Computed properties:
Space group: Cmmm, No. 65
E_form in eV per formula unit: -0.2
Density of states at the Fermi level in states/eV per cell: 5.5

Unit cell a=2.784 b=4.365 c=6.395 alpha=109.96 beta=90.00 gamma=90.00
Last column: magnetic moment on the atom in μB.
Sites, in units of the cell vectors:
Fe 0.000 0.676 0.352  2.76
Fe 0.000 0.324 0.648  2.76
Fe 0.500 0.500 0.000  2.65
B 0.000 0.000 0.000  -0.03
Ir 0.500 0.865 0.731  0.30
Ir 0.500 0.135 0.269  0.30

Entry 4:
An optimized crystal structure of Tm3UTc3, computed with PBE.

Computed properties:
Space group: R3m, No. 160
E_form in eV per formula unit: -1.6
Density of states at the Fermi level in states/eV per cell: 5.7

Unit cell a=5.736 b=5.971 c=5.736 alpha=110.30 beta=108.63 gamma=110.30
Sites, in units of the cell vectors:
Tm 0.407 0.997 0.000
Tm 0.593 0.590 0.593
Tm 0.000 0.997 0.407
U 0.000 0.389 0.000
Tc 0.446 0.499 0.000
Tc 0.554 0.053 0.554
Tc 0.000 0.499 0.446